La4UP5 (PBE-GGA, relaxed); spin magnetization = 2.02 Bohr magnetons per cell; ΔE_f = -32.99 kcal/mol of atoms
1.0
5.349 0.000 2.580
2.675 6.639 1.290
-0.209 0.000 7.270
La U P
4 1 5
direct
0.404 0.397 0.797
0.801 0.797 0.603
0.201 0.203 0.397
0.598 0.603 0.203
0.001 0.000 0.000
0.907 0.376 0.811
0.284 0.811 0.624
0.718 0.189 0.376
0.095 0.624 0.189
0.501 0.000 0.000